# 1
Entry from the Alexandria database: a relaxed YHg2Pt crystal (PBE).

Calculated values
As for the size of the total moment: 0.0 μB/f.u. Its density of states at the Fermi level is 1.6 states/eV/cell. For the energy relative to the elements, the calculation gives -514 meV per atom.

Cell lengths 3.6135, 3.6135, 7.0168 Å; angles 90.00, 90.00, 90.00 degrees
With the nearest neighbours (Å) after each atom.
Space group P4mm (No. 99)
Asymmetric unit:
Y (0.0000, 0.0000, 0.0000)  4 Pt 2.89, 1 Hg 3.12
Hg (0.0000, 0.0000, 0.5550)  4 Pt 3.11, 1 Y 3.12, 4 Hg 3.14
Hg (0.5000, 0.5000, 0.2941)  4 Hg 3.14, 4 Y 3.28, 1 Pt 3.42
Pt (0.5000, 0.5000, 0.8071)  4 Y 2.89, 4 Hg 3.11

# 2
Entry from the Alexandria database: a relaxed YHgPt3 crystal (PBE).

Calculated values
As for the size of the total moment: 0.0 μB/f.u. The distance to the lowest polymorph of the same formula is 1.87 eV/f.u. Its density of states at the Fermi level is 4.1 states/eV/cell. For the energy relative to the elements, the calculation gives 826 meV per atom.

Cell lengths 5.1299, 5.1299, 5.1299 Å; angles 90.00, 90.00, 90.00 degrees
With the nearest neighbours (Å) after each atom.
Space group Pm-3m (No. 221)
Asymmetric unit:
Y (0.0000, 0.0000, 0.0000)  6 Pt 2.56
Hg (0.5000, 0.5000, 0.5000)  12 Pt 3.63
Pt (0.0000, 0.0000, 0.5000)  2 Y 2.56

# 3
Entry from the Alexandria database: a relaxed Y2Hg3Pt crystal (PBE).

Calculated values
As for the size of the total moment: 0.0 μB/f.u. Its density of states at the Fermi level is 3.2 states/eV/cell. For the energy relative to the elements, the calculation gives -588 meV per atom.

Cell lengths 3.4683, 4.8364, 8.4318 Å; angles 90.00, 90.00, 90.00 degrees
With the nearest neighbours (Å) after each atom.
Space group Pmm2 (No. 25)
Asymmetric unit:
Y (0.0000, 0.0000, 0.0000)  2 Pt 2.98, 4 Hg 3.15
Y (0.0000, 0.5000, 0.4283)  8 Hg 3.12-3.48, 4 Pt 3.20, 2 Y 3.47
Hg (0.5000, 0.0000, 0.6164)  1 Pt 2.78, 2 Hg 2.81
Hg (0.5000, 0.5000, 0.1214)  2 Pt 2.79, 1 Hg 2.82, 2 Y 3.12
Hg (0.5000, 0.5000, 0.7865)  3 Hg 2.81-2.82
Pt (0.5000, 0.0000, 0.2872)  3 Hg 2.78-2.79, 2 Y 2.98

# 4
Entry from the Alexandria database: a relaxed YHgPt2 crystal (PBE).

Calculated values
As for the size of the total moment: 0.0 μB/f.u. Its density of states at the Fermi level is 0.9 states/eV/cell. For the energy relative to the elements, the calculation gives -613 meV per atom.

Cell lengths 3.7349, 3.8178, 5.6586 Å; angles 90.00, 90.00, 90.00 degrees
With the nearest neighbours (Å) after each atom.
Space group Pmm2 (No. 25)
Asymmetric unit:
Y (0.0000, 0.0000, 0.0000)  6 Pt 2.78-2.92
Hg (0.5000, 0.5000, 0.6933)  6 Pt 2.74-2.92
Pt (0.0000, 0.0000, 0.4918)  2 Y 2.78-2.88, 4 Hg 2.90, 4 Pt 3.11
Pt (0.5000, 0.5000, 0.2092)  2 Hg 2.74-2.92, 4 Y 2.92

# 5
Entry from the Alexandria database: a relaxed YHgPt2 crystal (PBE).

Calculated values
As for the size of the total moment: 0.0 μB/f.u. Its density of states at the Fermi level is 1.3 states/eV/cell. For the energy relative to the elements, the calculation gives -711 meV per atom.

Cell lengths 3.8109, 4.2417, 5.5206 Å; angles 90.00, 110.03, 90.00 degrees
With the nearest neighbours (Å) after each atom.
Space group Pm (No. 6)
Asymmetric unit:
Y (0.0000, 0.0000, 0.0000)  7 Pt 2.84-3.03
Hg (0.7041, 0.5000, 0.4074)  7 Pt 2.78-3.07
Pt (0.2737, 0.0000, 0.5469)  2 Pt 2.70, 3 Y 2.84-3.03, 4 Hg 2.94
Pt (0.4361, 0.5000, 0.8705)  2 Pt 2.70, 1 Hg 2.78, 4 Y 2.93

# 6
Entry from the Alexandria database: a relaxed YHg2Pt crystal (PBE).

Calculated values
As for the size of the total moment: 0.0 μB/f.u. Its density of states at the Fermi level is 4.8 states/eV/cell. For the energy relative to the elements, the calculation gives -501 meV per atom.

Cell lengths 4.9124, 4.9124, 7.1661 Å; angles 90.00, 90.00, 90.00 degrees
With the nearest neighbours (Å) after each atom.
Space group I-4m2 (No. 119)
Asymmetric unit:
Y (0.0000, 0.0000, 0.0000)  4 Hg 3.04, 4 Pt 3.04
Hg (0.0000, 0.0000, 0.5000)  4 Hg 3.04, 4 Pt 3.04
Hg (0.0000, 0.5000, 0.7500)  4 Hg 3.04, 4 Y 3.04
Pt (0.0000, 0.5000, 0.2500)  4 Hg 3.04, 4 Y 3.04

# 7
Entry from the Alexandria database: a relaxed YHg2Pt crystal (PBE).

Calculated values
As for the size of the total moment: 0.0 μB/f.u. Its density of states at the Fermi level is 1.1 states/eV/cell. For the energy relative to the elements, the calculation gives -542 meV per atom.

Cell lengths 3.7699, 3.8986, 6.6693 Å; angles 90.00, 105.54, 90.00 degrees
With the nearest neighbours (Å) after each atom.
Space group Pm (No. 6)
Asymmetric unit:
Y (0.0000, 0.0000, 0.0000)  4 Pt 2.88
Hg (0.2529, 0.0000, 0.5298)  2 Pt 2.83, 4 Hg 3.09
Hg (0.6443, 0.5000, 0.2996)  1 Pt 2.90, 4 Hg 3.09
Pt (0.4272, 0.5000, 0.8477)  3 Hg 2.83-2.90, 4 Y 2.88

# 8
Entry from the Alexandria database: a relaxed Y7Hg2Pt2 crystal (PBE).

Calculated values
As for the size of the total moment: 0.0 μB/f.u. Its density of states at the Fermi level is 22.8 states/eV/cell. For the energy relative to the elements, the calculation gives -540 meV per atom.

Cell lengths 8.1292, 11.0286, 7.1188 Å; angles 90.00, 90.00, 90.00 degrees
With the nearest neighbours (Å) after each atom.
Space group Cmmm (No. 65)
Asymmetric unit:
Y (0.0000, 0.0000, 0.0000)  2 Pt 3.18
Y (0.0000, 0.5000, 0.2485)  2 Pt 2.93, 2 Hg 3.14
Y (0.2500, 0.2500, 0.2555)  2 Pt 2.76
Hg (0.1823, 0.0000, 0.5000)  1 Hg 2.96, 6 Y 3.14-3.31
Pt (0.0000, 0.2884, 0.0000)  6 Y 2.76-2.93

# 9
Entry from the Alexandria database: a relaxed Y2HgPt2 crystal (PBE).

Calculated values
As for the size of the total moment: 0.0 μB/f.u. Its density of states at the Fermi level is 4.6 states/eV/cell. For the energy relative to the elements, the calculation gives -768 meV per atom.

Cell lengths 3.9711, 3.9711, 15.2823 Å; angles 90.00, 90.00, 90.00 degrees
With the nearest neighbours (Å) after each atom.
Space group I4/mmm (No. 139)
Asymmetric unit:
Y (0.0000, 0.0000, 0.1174)  4 Pt 2.84
Hg (0.0000, 0.0000, 0.5000)  8 Y 3.33
Pt (0.0000, 0.5000, 0.2500)  4 Pt 2.81, 4 Y 2.84

# 10
Entry from the Alexandria database: a relaxed YHgPt2 crystal (PBE).

Calculated values
As for the size of the total moment: 0.0 μB/f.u. Its density of states at the Fermi level is 3.2 states/eV/cell. For the energy relative to the elements, the calculation gives -724 meV per atom.

Cell lengths 4.1263, 4.1263, 9.0743 Å; angles 90.00, 90.00, 90.00 degrees
With the nearest neighbours (Å) after each atom.
Space group I-4m2 (No. 119)
Asymmetric unit:
Y (0.0000, 0.0000, 0.0000)  8 Pt 2.92-3.07, 4 Hg 3.07
Hg (0.0000, 0.5000, 0.7500)  8 Pt 2.92-3.07, 4 Y 3.07
Pt (0.0000, 0.0000, 0.5000)  4 Y 2.92, 4 Hg 3.07, 4 Pt 3.07
Pt (0.0000, 0.5000, 0.2500)  4 Hg 2.92, 4 Pt 3.07, 4 Y 3.07

# 11
Entry from the Alexandria database: a relaxed YHg2Pt2 crystal (PBE).

Calculated values
As for the size of the total moment: 0.0 μB/f.u. The distance to the lowest polymorph of the same formula is 0.88 eV/f.u. Its density of states at the Fermi level is 5.5 states/eV/cell. For the energy relative to the elements, the calculation gives -302 meV per atom.

Cell lengths 7.7550, 7.7550, 3.4292 Å; angles 90.00, 90.00, 90.00 degrees
With the nearest neighbours (Å) after each atom.
Space group P4/mbm (No. 127)
Asymmetric unit:
Y (0.0000, 0.0000, 0.0000)  4 Hg 3.06, 8 Pt 3.33
Hg (0.1260, 0.3740, 0.0000)  6 Pt 2.75-2.94, 1 Hg 2.76, 2 Y 3.06
Pt (0.1776, 0.6776, 0.5000)  6 Hg 2.75-2.94

# 12
Entry from the Alexandria database: a relaxed Y2HgPt2 crystal (PBE).

Calculated values
As for the size of the total moment: 0.0 μB/f.u. Its density of states at the Fermi level is 6.3 states/eV/cell. For the energy relative to the elements, the calculation gives -840 meV per atom.

Cell lengths 5.4531, 5.4531, 8.2003 Å; angles 90.00, 90.00, 90.00 degrees
With the nearest neighbours (Å) after each atom.
Space group I4/mmm (No. 139)
Asymmetric unit:
Y (0.0000, 0.5000, 0.2500)  4 Pt 2.83
Hg (0.0000, 0.0000, 0.0000)  2 Pt 2.82
Pt (0.0000, 0.0000, 0.3444)  1 Pt 2.55, 1 Hg 2.82, 4 Y 2.83

# 13
Entry from the Alexandria database: a relaxed Y6HgPt crystal (PBE).

Calculated values
As for the size of the total moment: 0.0 μB/f.u. Its density of states at the Fermi level is 11.6 states/eV/cell. For the energy relative to the elements, the calculation gives -241 meV per atom.

Cell lengths 6.9731, 6.9785, 7.4055 Å; angles 90.10, 117.97, 119.94 degrees
With the nearest neighbours (Å) after each atom.
Space group P-1 (No. 2)
Asymmetric unit:
Y (0.0255, 0.0741, 0.2529)  1 Pt 2.76, 1 Hg 2.98
Y (0.3010, 0.7270, 0.2527)  1 Pt 2.76, 1 Hg 2.98
Y (0.3200, 0.5476, 0.7473)  1 Pt 2.76, 1 Hg 2.98
Hg (0.5000, 0.0000, 0.0000)  6 Y 2.98
Pt (0.5000, 0.5000, 0.5000)  6 Y 2.76

# 14
Entry from the Alexandria database: a relaxed YHgPt2 crystal (PBE).

Calculated values
As for the size of the total moment: 0.0 μB/f.u. Its density of states at the Fermi level is 2.1 states/eV/cell. For the energy relative to the elements, the calculation gives -677 meV per atom.

Cell lengths 4.4017, 4.4017, 4.0267 Å; angles 90.00, 90.00, 90.00 degrees
With the nearest neighbours (Å) after each atom.
Space group P4/mmm (No. 123)
Asymmetric unit:
Y (0.0000, 0.0000, 0.0000)  8 Pt 2.98, 4 Hg 3.11
Hg (0.5000, 0.5000, 0.0000)  8 Pt 2.98, 4 Y 3.11
Pt (0.0000, 0.5000, 0.5000)  4 Hg 2.98, 4 Y 2.98, 4 Pt 3.11